[1]
Below is a relaxed structure of KTmO2, with properties calculated at the PBE level.

The structure belongs to space group R3m (No. 160, hexagonal axes); the cell edges are 3.4053, 3.4053 and 19.0607 Å and the angles 90.00°, 90.00° and 120.00°. The inequivalent atoms are K at (0.0000, 0.0000, 0.0000), Tm at (0.0000, 0.0000, 0.8299), O at (0.0000, 0.0000, 0.2229) and O at (0.0000, 0.0000, 0.4351).

---

[2]
Below is a relaxed structure of K3TmU2O9, with properties calculated at the PBE level.

The structure belongs to space group P-3m1 (No. 164); the cell edges are 6.0765, 6.0765 and 7.4417 Å and the angles 90.00°, 90.00° and 120.00°. The inequivalent atoms are K at (0.0000, 0.0000, 0.0000), K at (0.3333, 0.6667, 0.6607), Tm at (0.0000, 0.0000, 0.5000), U at (0.3333, 0.6667, 0.1700), O at (0.0000, 0.5000, 0.0000) and O at (0.1732, 0.3464, 0.3252).

---

[3]
Below is a relaxed structure of K2TmUO6, with properties calculated at the PBE level.

The structure belongs to space group Fm-3m (No. 225); the cell edges are 8.6108, 8.6108 and 8.6108 Å and the angles 90.00°, 90.00° and 90.00°. The inequivalent atoms are K at (0.2500, 0.2500, 0.2500), Tm at (0.0000, 0.0000, 0.0000), U at (0.0000, 0.0000, 0.5000) and O at (0.0000, 0.0000, 0.2585).

---

For each record above, in turn, the calculated energy relative to the elements, uncorrected values are -2.78 -2.92 -2.71 eV per atom.
For each record above, in turn, the calculated final energy values are -6.66 -7.91 -7.48 eV per atom.